No. 1
BeAl2Zn | the Alexandria database | PBEsol | optimized geometry; V = 14.26 Å³ per atom; ΔE_f = 311.5 meV/atom
1.0
4.321 0.000 0.000
2.160 3.742 0.000
2.160 1.247 3.528
Al Be Zn
2 1 1
Cartesian
6.481 3.742 2.646 Al
0.000 0.000 0.000 Al
4.321 2.495 1.764 Be
2.160 1.247 0.882 Zn

***

No. 2
BeAl2Zn | the Alexandria database | PBEsol | optimized geometry; V = 13.88 Å³ per atom; ΔE_f = 133.1 meV/atom
1.0
2.713 0.000 0.000
0.000 2.713 0.000
0.000 0.000 7.543
Be Al Zn
1 2 1
Cartesian
1.356 1.356 0.000 Be
0.000 0.000 1.704 Al
0.000 0.000 5.839 Al
1.356 1.356 3.771 Zn

***

No. 3
BeAl2Zn | the Alexandria database | PBEsol | optimized geometry; V = 13.89 Å³ per atom; ΔE_f = 164.0 meV/atom
1.0
3.770 0.000 0.000
0.000 3.839 0.000
0.000 0.000 3.839
Zn Be Al
1 1 2
Cartesian
1.885 0.000 0.000 Zn
1.885 1.919 1.919 Be
0.000 1.919 0.000 Al
0.000 0.000 1.919 Al

***

No. 4
Be2AlZn2 | the Alexandria database | PBEsol | optimized geometry; V = 12.85 Å³ per atom; ΔE_f = 278.0 meV/atom
1.0
3.363 0.000 0.000
0.000 3.363 0.000
-1.681 -1.681 5.681
Al Be Zn
1 2 2
Cartesian
0.000 0.000 0.000 Al
1.681 0.000 2.840 Be
0.000 1.681 2.840 Be
1.681 1.681 1.232 Zn
0.000 0.000 4.449 Zn

***

Density of states at the Fermi level
In order: 1.500; 1.195; 1.097; 1.456
Unit: states/eV/cell
Uncorrected energy
In order: -3.1297; -3.3081; -3.2773; -2.7731
Unit: eV/atom